Below is a crystal of TeRuCl relaxed with PBEsol, with properties calculated at the SCAN level.

Results
As for the total DFT energy (no corrections): -1.8958 Ry per atom. For the uncorrected formation energy, the calculation gives 0.89 eV per atom. The volume is 66 Å³/f.u.

Cell lengths 4.5468, 4.5468, 4.5468 Å; angles 60.00, 60.00, 60.00 degrees
Last column: nearest neighbours and their distance in Å.
Fractional coordinates of all 3 atoms:
Te: 0.0000 0.0000 0.0000  4 Cl 2.78, 4 Ru 2.78
Ru: 0.7500 0.7500 0.7500  4 Te 2.78
Cl: 0.2500 0.2500 0.2500  4 Te 2.78

Below is a crystal of BaMn3 relaxed with PBEsol, with properties calculated at the SCAN level.

Results
As for the total DFT energy (no corrections): -1.7130 Ry per atom. The value obtained for the energy of formation from the pure elements is 0.2730 eV per atom. The volume is 75 Å³/f.u.

Cell lengths 3.1074, 3.1074, 7.7516 Å; angles 90.00, 90.00, 90.00 degrees
Last column: nearest neighbours and their distance in Å.
Fractional coordinates of all 4 atoms:
Ba: 0.0000 0.0000 0.0000  4 Ba 3.11, 8 Mn 3.43
Mn: 0.0000 0.0000 0.5000  8 Mn 2.52
Mn: 0.5000 0.5000 0.3396  5 Mn 2.49-2.52
Mn: 0.5000 0.5000 0.6604  5 Mn 2.49-2.52

Below is a crystal of NaAlNiP2 relaxed with PBEsol, with properties calculated at the SCAN level.

Results
As for the total DFT energy (no corrections): -0.7061 Ry per atom. The value obtained for the energy of formation from the pure elements is 0.1803 eV per atom. The volume is 90 Å³/f.u.

Cell lengths 4.4936, 4.4936, 4.4512 Å; angles 90.00, 90.00, 90.00 degrees
Last column: nearest neighbours and their distance in Å.
Fractional coordinates of all 5 atoms:
Na: 0.0000 0.0000 0.0000  8 P 3.16, 4 Al 3.18
Al: 0.5000 0.5000 0.0000  2 Ni 2.23
Ni: 0.5000 0.5000 0.5000  2 Al 2.23, 4 P 2.25
P: 0.0000 0.5000 0.5000  2 Ni 2.25
P: 0.5000 0.0000 0.5000  2 Ni 2.25

Below is a crystal of NaBe2Pb2 relaxed with PBEsol, with properties calculated at the SCAN level.

Results
As for the total DFT energy (no corrections): -2.4044 Ry per atom. The value obtained for the energy of formation from the pure elements is 0.1836 eV per atom. The volume is 105 Å³/f.u.

Cell lengths 6.6422, 6.6422, 6.6422 Å; angles 143.00, 143.00, 53.33 degrees
Last column: nearest neighbours and their distance in Å.
Fractional coordinates of all 5 atoms:
Na: 0.0000 0.0000 0.0000  8 Pb 3.35, 8 Be 3.64
Be: 0.2500 0.7500 0.5000  4 Pb 2.56
Be: 0.7500 0.2500 0.5000  4 Pb 2.56
Pb: 0.3719 0.3719 0.0000  4 Be 2.56
Pb: 0.6281 0.6281 0.0000  4 Be 2.56

Below is a crystal of SmMn2Si2 relaxed with PBEsol, with properties calculated at the SCAN level.

Results
As for the total DFT energy (no corrections): -1.5344 Ry per atom. For the uncorrected formation energy, the calculation gives -0.68 eV per atom. The volume is 78 Å³/f.u.

Cell lengths 5.8344, 5.8344, 5.8344 Å; angles 141.06, 141.06, 56.25 degrees
Last column: nearest neighbours and their distance in Å.
Fractional coordinates of all 5 atoms:
Sm: 0.0000 0.0000 0.0000  8 Si 3.03, 8 Mn 3.23
Mn: 0.2500 0.7500 0.5000  4 Si 2.34
Mn: 0.7500 0.2500 0.5000  4 Si 2.34
Si: 0.3771 0.3771 0.0000  4 Mn 2.34, 1 Si 2.53
Si: 0.6229 0.6229 0.0000  4 Mn 2.34, 1 Si 2.53

Below is a crystal of Ag7Au relaxed with PBEsol, with properties calculated at the SCAN level.

Results
As for the total DFT energy (no corrections): -2.6552 Ry per atom. The value obtained for the energy of formation from the pure elements is -0.0349 eV per atom. The volume is 133 Å³/f.u.

Cell lengths 5.7253, 5.7253, 5.7253 Å; angles 60.00, 60.00, 60.00 degrees
Last column: nearest neighbours and their distance in Å.
Fractional coordinates of all 8 atoms:
Ag: 0.0000 0.0000 0.0000  12 Ag 2.86
Ag: 0.0000 0.0000 0.5000  2 Au 2.86, 10 Ag 2.86
Ag: 0.0000 0.5000 0.0000  2 Au 2.86, 10 Ag 2.86
Ag: 0.0000 0.5000 0.5000  2 Au 2.86, 10 Ag 2.86
Ag: 0.5000 0.0000 0.0000  2 Au 2.86, 10 Ag 2.86
Ag: 0.5000 0.0000 0.5000  2 Au 2.86, 10 Ag 2.86
Ag: 0.5000 0.5000 0.0000  2 Au 2.86, 10 Ag 2.86
Au: 0.5000 0.5000 0.5000  12 Ag 2.86

Below is a crystal of LiCa relaxed with PBEsol, with properties calculated at the SCAN level.

Results
As for the total DFT energy (no corrections): -0.4419 Ry per atom. The value obtained for the energy of formation from the pure elements is 0.0145 eV per atom. For the excess energy over the best structure of this formula in the dataset, the calculation gives 2 meV/atom. The volume is 61 Å³/f.u.

Cell lengths 6.4801, 6.4801, 5.5992 Å; angles 111.51, 111.51, 34.36 degrees
Last column: nearest neighbours and their distance in Å.
Fractional coordinates of all 4 atoms:
Li: 0.1535 0.1535 0.3851  2 Li 2.95
Li: 0.8465 0.8465 0.6149  2 Li 2.95
Ca: 0.3935 0.3935 0.1569  7 Li 3.42-3.66, 6 Ca 3.69-3.83
Ca: 0.6065 0.6065 0.8431  7 Li 3.42-3.66, 6 Ca 3.69-3.83

Below is a crystal of Li2CuCSO7 relaxed with PBEsol, with properties calculated at the SCAN level.

Results
As for the total DFT energy (no corrections): -0.6330 Ry per atom. For the uncorrected formation energy, the calculation gives -1.67 eV per atom. The volume is 134 Å³/f.u.

Cell lengths 5.0265, 6.2509, 8.5204 Å; angles 90.00, 92.67, 90.00 degrees
Last column: nearest neighbours and their distance in Å.
Fractional coordinates of all 24 atoms:
Li: 0.2000 0.0233 0.2964  3 O 1.97-2.10
Li: 0.2000 0.4767 0.2964  3 O 1.97-2.10
Li: 0.8000 0.5233 0.7036  3 O 1.97-2.10
Li: 0.8000 0.9767 0.7036  3 O 1.97-2.10
Cu: 0.2450 0.7500 0.8561  4 O 1.95-1.98
Cu: 0.7550 0.2500 0.1439  4 O 1.95-1.98
C: 0.2964 0.7500 0.5554  3 O 1.27-1.33
C: 0.7036 0.2500 0.4446  3 O 1.27-1.33
S: 0.2878 0.2500 0.9262  4 O 1.48-1.50
S: 0.7122 0.7500 0.0738  4 O 1.48-1.50
O: 0.0857 0.7500 0.6434  1 C 1.33
O: 0.1854 0.0621 0.8365  1 S 1.48
O: 0.1854 0.4379 0.8365  1 S 1.48
O: 0.1999 0.2500 0.0891  1 S 1.48
O: 0.2589 0.7500 0.4068  1 C 1.27
O: 0.4127 0.7500 0.0676  1 S 1.50
O: 0.4753 0.2500 0.3715  1 C 1.28
O: 0.5247 0.7500 0.6285  1 C 1.28
O: 0.5873 0.2500 0.9324  1 S 1.50
O: 0.7411 0.2500 0.5932  1 C 1.27
O: 0.8001 0.7500 0.9109  1 S 1.48
O: 0.8146 0.5621 0.1635  1 S 1.48
O: 0.8146 0.9379 0.1635  1 S 1.48
O: 0.9143 0.2500 0.3566  1 C 1.33

Below is a crystal of ZnGaSn2 relaxed with PBEsol, with properties calculated at the SCAN level.

Results
As for the total DFT energy (no corrections): -1.8501 Ry per atom. The value obtained for the energy of formation from the pure elements is 0.2536 eV per atom. The volume is 86 Å³/f.u.

Cell lengths 4.9480, 4.9480, 4.9480 Å; angles 60.00, 60.00, 60.00 degrees
Last column: nearest neighbours and their distance in Å.
Fractional coordinates of all 4 atoms:
Zn: 0.0000 0.0000 0.0000  8 Sn 3.03
Ga: 0.5000 0.5000 0.5000  8 Sn 3.03
Sn: 0.2500 0.2500 0.2500  4 Zn 3.03, 4 Ga 3.03
Sn: 0.7500 0.7500 0.7500  4 Zn 3.03, 4 Ga 3.03

Below is a crystal of Y4InIr relaxed with PBEsol, with properties calculated at the SCAN level.

Results
As for the total DFT energy (no corrections): -2.6982 Ry per atom. The value obtained for the energy of formation from the pure elements is -0.7344 eV per atom. The volume is 153 Å³/f.u.

Cell lengths 9.5341, 9.5341, 9.5341 Å; angles 60.00, 60.00, 60.00 degrees
Last column: nearest neighbours and their distance in Å.
Fractional coordinates of all 24 atoms:
Y: 0.1906 0.1906 0.8094  2 In 3.20, 6 Y 3.41-3.55, 2 Ir 3.41
Y: 0.1906 0.8094 0.1906  2 In 3.20, 6 Y 3.41-3.55, 2 Ir 3.41
Y: 0.1906 0.8094 0.8094  2 In 3.20, 6 Y 3.41-3.55, 2 Ir 3.41
Y: 0.4005 0.4005 0.4005  3 Ir 2.81
Y: 0.4005 0.4005 0.7984  3 Ir 2.81
Y: 0.4005 0.7984 0.4005  3 Ir 2.81
Y: 0.5585 0.5585 0.9415  2 Ir 2.78
Y: 0.5585 0.9415 0.5585  2 Ir 2.78
Y: 0.5585 0.9415 0.9415  2 Ir 2.78
Y: 0.7984 0.4005 0.4005  3 Ir 2.81
Y: 0.8094 0.1906 0.1906  2 In 3.20, 6 Y 3.41-3.55, 2 Ir 3.41
Y: 0.8094 0.1906 0.8094  2 In 3.20, 6 Y 3.41-3.55, 2 Ir 3.41
Y: 0.8094 0.8094 0.1906  2 In 3.20, 6 Y 3.41-3.55, 2 Ir 3.41
Y: 0.9415 0.5585 0.5585  2 Ir 2.78
Y: 0.9415 0.5585 0.9415  2 Ir 2.78
Y: 0.9415 0.9415 0.5585  2 Ir 2.78
In: 0.1672 0.1672 0.1672  3 In 3.16, 9 Y 3.20-3.43
In: 0.1672 0.1672 0.4983  3 In 3.16, 9 Y 3.20-3.43
In: 0.1672 0.4983 0.1672  3 In 3.16, 9 Y 3.20-3.43
In: 0.4983 0.1672 0.1672  3 In 3.16, 9 Y 3.20-3.43
Ir: 0.1740 0.6087 0.6087  6 Y 2.78-2.81
Ir: 0.6087 0.1740 0.6087  6 Y 2.78-2.81
Ir: 0.6087 0.6087 0.1740  6 Y 2.78-2.81
Ir: 0.6087 0.6087 0.6087  6 Y 2.78-2.81